The following is a GGA-PBE calculation of CaBPt3 after structural relaxation, from Alexandria via LeMat-Bulk.

E_tot   -5.90 eV/atom
Crystal system   monoclinic
N(E_F)   4.0 states/eV/cell
Symmetry   No. 12
Formation energy   -0.538 eV/atom

Structure (POSCAR):
```
CaBPt3
1.0
11.931 0.000 -0.916
4.494 2.040 -3.792
-4.494 2.040 3.792
B Pt Ca
2 6 2
Direct
0.273 0.271 0.729
0.727 0.729 0.271
0.680 0.595 0.405
0.359 0.704 0.296
0.641 0.296 0.704
0.325 0.057 0.943
0.675 0.943 0.057
0.320 0.405 0.595
0.000 0.142 0.858
0.000 0.858 0.142
```